# 1
Material: La4ReSi
Method: DFT, PBE
State: relaxed

abc: 8.694 8.694 8.694
angles: 90.00 90.00 90.00
Space group F-43m (No. 216)
Asymmetric unit:
La: 0.124 0.124 0.124
Re: 0.250 0.250 0.750
Si: 0.000 0.000 0.500

Computed properties:
M_tot (μB/cell): 0.3
Total DFT energy (no corrections) (eV/f.u.): -31.98
Formation energy without anion corrections (eV per atom): 0.933

=====

# 2
Material: Ta2FeAu
Method: DFT, PBE
State: relaxed

abc: 3.259 3.259 6.169
angles: 90.00 90.00 90.00
Space group P4mm (No. 99)
Asymmetric unit:
Ta: 0.000 0.000 0.000
Ta: 0.500 0.500 0.279
Fe: 0.500 0.500 0.796
Au: 0.000 0.000 0.540

Computed properties:
M_tot (μB/cell): 1.2
Energy of formation from the pure elements (eV/atom): -0.030
ΔE to the lowest computed polymorph (meV per atom): 0
Total DFT energy (no corrections) (eV/f.u.): -35.57

=====

# 3
Material: TbEuMgPb
Method: DFT, PBE
State: relaxed

abc: 7.769 7.769 7.769
angles: 90.00 90.00 90.00
Space group F-43m (No. 216)
Asymmetric unit:
Tb: 0.000 0.000 0.000
Eu: 0.000 0.000 0.500
Mg: 0.250 0.250 0.750
Pb: 0.250 0.250 0.250

Computed properties:
M_tot (μB/cell): 30.6
Energy of formation from the pure elements (eV/atom): -0.305
Total DFT energy (no corrections) (eV/f.u.): -21.43

=====

# 4
Material: BaSc2V
Method: DFT, PBE
State: relaxed

abc: 7.527 7.527 7.527
angles: 90.00 90.00 90.00
Space group Fm-3m (No. 225)
Asymmetric unit:
Ba: 0.000 0.000 0.000
Sc: 0.250 0.250 0.250
V: 0.000 0.000 0.500

Computed properties:
M_tot (μB/cell): 13.5
Energy of formation from the pure elements (eV/atom): 0.635
ΔE to the lowest computed polymorph (meV per atom): 0
Total DFT energy (no corrections) (eV/f.u.): -21.16

=====

Number 1: DOS(E_F) 1.37 states/eV per atom. Number 2: DOS(E_F) 0.80 states/eV per atom. Number 3: DOS(E_F) 0.79 states/eV per atom. Number 4: DOS(E_F) 1.84 states/eV per atom.